The following is a DFT calculation (PBE+U) of crystalline NiHg2F at its relaxed geometry.

Values from the calculation:
M_tot ... 0.8 μB/f.u.
Crystal system ... cubic
E above lowest polymorph ... 303.3 meV/atom
Space group ... No. 225

abc: 4.546 4.546 4.546
angles: 60.00 60.00 60.00
Site moments in Bohr magnetons follow the coordinates.
Fractional positions:
Ni 0.500 0.500 0.500  0.74
Hg 0.250 0.250 0.250  0.01
Hg 0.750 0.750 0.750  0.01
F 0.000 0.000 0.000  0.06